Computed, not measured: a geometry-optimized MnZnO2 structure at the PBE with a Hubbard U level of DFT.

Values from the calculation:
Symmetry ... R-3m
VASP energy ... -71.69 eV per cell

The structure in CIF format:
```
data_MnZnO2
_chemical_formula_sum 'Mn3 Zn3 O6'
_cell_length_a 3.246
_cell_length_b 3.246
_cell_length_c 17.342
_cell_angle_alpha 90.00
_cell_angle_beta 90.00
_cell_angle_gamma 120.00
_space_group_name_H-M_alt 'P 1'
_space_group_IT_number 1
_space_group_name_Hall 'P 1'
loop_
_atom_site_label
_atom_site_type_symbol
_atom_site_fract_x
_atom_site_fract_y
_atom_site_fract_z
_atom_site_occupancy
Mn1 Mn 0.000 0.000 0.000 1
Mn2 Mn 0.333 0.667 0.667 1
Mn3 Mn 0.667 0.333 0.333 1
Zn1 Zn 0.000 0.000 0.500 1
Zn2 Zn 0.333 0.667 0.167 1
Zn3 Zn 0.667 0.333 0.833 1
O1 O 0.000 0.000 0.398 1
O2 O 0.000 0.000 0.602 1
O3 O 0.333 0.667 0.064 1
O4 O 0.333 0.667 0.269 1
O5 O 0.667 0.333 0.731 1
O6 O 0.667 0.333 0.936 1
```